{"formula": "BaNaLiTl2", "functional": "PBE-GGA", "state": "relaxed", "lattice_angstrom": [[-4.100, -1.978, 2.836], [-0.015, -4.389, -3.083], [3.478, -2.379, 3.369]], "species": ["Li", "Na", "Tl", "Tl", "Ba"], "frac_coords": [[0.000, 0.000, 0.000], [0.000, 0.000, 0.500], [0.000, 0.500, 0.000], [0.500, 0.000, 0.000], [0.500, 0.500, 0.500]], "e_tot_ev_per_atom": -2.137, "e_above_lowest_polymorph_ev_per_atom": 0.060, "formation_energy_ev_per_fu": -0.80}


{"formula": "BaNaLiTl2", "functional": "PBE-GGA", "state": "relaxed", "lattice_angstrom": [[6.544, 0.000, 0.000], [0.000, 6.127, 0.000], [0.000, 0.000, 7.749]], "species": ["Na", "Na", "Tl", "Tl", "Tl", "Tl", "Li", "Li", "Ba", "Ba"], "frac_coords": [[0.417, 0.250, 0.000], [0.583, 0.750, 0.000], [0.811, 0.250, 0.268], [0.189, 0.750, 0.732], [0.189, 0.750, 0.268], [0.811, 0.250, 0.732], [0.000, 0.000, 0.000], [0.000, 0.500, 0.000], [0.706, 0.750, 0.500], [0.294, 0.250, 0.500]], "e_tot_ev_per_atom": -2.197, "e_above_lowest_polymorph_ev_per_atom": 0.000, "formation_energy_ev_per_fu": -1.09}


{"formula": "Ba2Na12Li3Tl", "functional": "PBE-GGA", "state": "relaxed", "lattice_angstrom": [[15.869, 5.264, 3.734], [12.414, 11.199, 3.734], [12.414, 7.226, 9.335]], "species": ["Ba", "Ba", "Tl", "Na", "Na", "Na", "Na", "Na", "Na", "Na", "Na", "Na", "Na", "Na", "Na", "Li", "Li", "Li"], "frac_coords": [[0.349, 0.349, 0.349], [0.651, 0.651, 0.651], [0.000, 0.000, 0.000], [0.389, 0.389, 0.878], [0.611, 0.611, 0.122], [0.389, 0.878, 0.389], [0.878, 0.389, 0.389], [0.611, 0.122, 0.611], [0.615, 0.108, 0.108], [0.892, 0.385, 0.892], [0.122, 0.611, 0.611], [0.108, 0.615, 0.108], [0.385, 0.892, 0.892], [0.892, 0.892, 0.385], [0.108, 0.108, 0.615], [0.500, 0.000, 0.000], [0.000, 0.500, 0.000], [0.000, 0.000, 0.500]], "e_tot_ev_per_atom": -1.474, "formation_energy_ev_per_fu": 1.25}


{"formula": "BaNa2LiTl", "functional": "PBE-GGA", "state": "relaxed", "lattice_angstrom": [[5.912, 0.000, 0.000], [0.000, 5.912, 0.000], [0.000, 0.000, 5.464]], "species": ["Ba", "Na", "Na", "Tl", "Li"], "frac_coords": [[0.500, 0.500, 0.500], [0.000, 0.500, 0.000], [0.500, 0.000, 0.000], [0.000, 0.000, 0.000], [0.000, 0.000, 0.500]], "e_tot_ev_per_atom": -1.759, "e_above_lowest_polymorph_ev_per_atom": 0.049, "formation_energy_ev_per_fu": 0.05}


{"formula": "Ba2NaLiTl", "functional": "PBE-GGA", "state": "relaxed", "lattice_angstrom": [[6.766, 0.000, 0.000], [0.000, 6.766, 0.000], [0.000, 0.000, 5.387]], "species": ["Tl", "Ba", "Ba", "Na", "Li"], "frac_coords": [[0.000, 0.000, 0.000], [0.500, 0.000, 0.000], [0.000, 0.500, 0.000], [0.500, 0.500, 0.500], [0.000, 0.000, 0.500]], "e_tot_ev_per_atom": -1.921, "e_above_lowest_polymorph_ev_per_atom": 0.000, "formation_energy_ev_per_fu": -0.16}


{"formula": "BaNa2LiTl", "functional": "PBE-GGA", "state": "relaxed", "lattice_angstrom": [[5.567, 0.000, 0.000], [0.000, 5.567, 0.000], [0.000, 0.000, 5.483]], "species": ["Na", "Na", "Ba", "Li", "Tl"], "frac_coords": [[0.500, 0.000, 0.000], [0.000, 0.500, 0.000], [0.500, 0.500, 0.500], [0.000, 0.000, 0.000], [0.000, 0.000, 0.500]], "e_tot_ev_per_atom": -1.808, "e_above_lowest_polymorph_ev_per_atom": 0.000, "formation_energy_ev_per_fu": -0.20}


{"formula": "Ba2NaLiZn", "functional": "PBE-GGA", "state": "relaxed", "lattice_angstrom": [[6.539, 0.000, 0.000], [0.000, 6.539, 0.000], [0.000, 0.000, 5.177]], "species": ["Li", "Na", "Ba", "Ba", "Zn"], "frac_coords": [[0.000, 0.000, 0.500], [0.500, 0.500, 0.500], [0.000, 0.500, 0.000], [0.500, 0.000, 0.000], [0.000, 0.000, 0.000]], "e_tot_ev_per_atom": -1.656, "e_above_lowest_polymorph_ev_per_atom": 0.000, "formation_energy_ev_per_fu": 0.07}


{"formula": "Ba2NaLiZn", "functional": "PBE-GGA", "state": "relaxed", "lattice_angstrom": [[-5.274, -1.422, -3.496], [0.256, -6.128, 2.106], [-3.269, 1.367, 4.376]], "species": ["Li", "Na", "Ba", "Ba", "Zn"], "frac_coords": [[0.500, 0.500, 0.500], [0.000, 0.000, 0.500], [0.500, 0.000, 0.000], [0.000, 0.500, 0.000], [0.000, 0.000, 0.000]], "e_tot_ev_per_atom": -1.574, "e_above_lowest_polymorph_ev_per_atom": 0.082, "formation_energy_ev_per_fu": 0.48}


{"formula": "Ba3LiNb", "functional": "PBE-GGA", "state": "relaxed", "lattice_angstrom": [[6.190, 0.000, 0.000], [0.000, 6.190, 0.000], [0.000, 0.000, 6.190]], "species": ["Li", "Ba", "Ba", "Ba", "Nb"], "frac_coords": [[0.500, 0.500, 0.500], [0.000, 0.500, 0.000], [0.000, 0.000, 0.500], [0.500, 0.000, 0.000], [0.000, 0.000, 0.000]], "e_tot_ev_per_atom": -2.837, "e_above_lowest_polymorph_ev_per_atom": 0.000, "formation_energy_ev_per_fu": 3.57}


{"formula": "BaLiNb", "functional": "PBE-GGA", "state": "relaxed", "lattice_angstrom": [[-0.810, 3.240, 1.315], [-2.155, -1.683, 2.820], [10.066, -0.419, 7.442]], "species": ["Li", "Li", "Ba", "Ba", "Nb", "Nb"], "frac_coords": [[0.020, 0.500, 0.261], [0.520, 0.000, 0.223], [0.519, 0.000, 0.495], [0.530, 0.500, 0.799], [0.025, 0.000, 0.012], [0.524, 0.500, 0.071]], "e_tot_ev_per_atom": -4.241, "e_above_lowest_polymorph_ev_per_atom": 0.021, "formation_energy_ev_per_fu": 1.18}


{"formula": "BaLiNb", "functional": "PBE-GGA", "state": "relaxed", "lattice_angstrom": [[-2.819, -0.488, -5.530], [4.980, -6.735, -1.771], [-2.099, -2.532, 0.853]], "species": ["Li", "Li", "Ba", "Ba", "Nb", "Nb"], "frac_coords": [[0.480, 0.492, 0.107], [0.247, 0.703, 0.601], [0.430, 0.040, 0.890], [0.955, 0.346, 0.749], [0.919, 0.951, 0.457], [0.830, 0.728, 0.196]], "e_tot_ev_per_atom": -4.094, "e_above_lowest_polymorph_ev_per_atom": 0.168, "formation_energy_ev_per_fu": 1.62}


{"formula": "BaLi2Nb", "functional": "PBE-GGA", "state": "relaxed", "lattice_angstrom": [[-0.873, -1.976, -4.360], [-1.214, -4.196, 2.145], [-11.268, 0.164, -0.534]], "species": ["Ba", "Ba", "Li", "Li", "Li", "Li", "Nb", "Nb"], "frac_coords": [[0.000, 0.000, 0.000], [0.750, 0.250, 0.500], [0.505, 0.125, 0.250], [0.245, 0.625, 0.250], [0.375, 0.495, 0.750], [0.875, 0.755, 0.750], [0.250, 0.750, 0.500], [0.500, 0.500, 0.000]], "e_tot_ev_per_atom": -3.001, "e_above_lowest_polymorph_ev_per_atom": 0.168, "formation_energy_ev_per_fu": 3.81}


{"formula": "BaLiNb", "functional": "PBE-GGA", "state": "relaxed", "lattice_angstrom": [[7.303, 0.021, 0.016], [-2.789, 5.811, -0.018], [1.333, 0.841, 4.302]], "species": ["Nb", "Nb", "Li", "Li", "Ba", "Ba"], "frac_coords": [[0.854, 0.883, 0.729], [0.853, 0.038, 0.273], [0.853, 0.566, 0.246], [0.854, 0.354, 0.761], [0.354, 0.460, 0.494], [0.354, 0.960, 0.994]], "e_tot_ev_per_atom": -4.058, "e_above_lowest_polymorph_ev_per_atom": 0.204, "formation_energy_ev_per_fu": 1.73}


{"formula": "BaLi3Nb", "functional": "PBE-GGA", "state": "relaxed", "lattice_angstrom": [[-1.030, 3.545, -3.344], [-4.463, 0.686, 2.101], [1.956, 3.431, 3.035]], "species": ["Li", "Li", "Li", "Ba", "Nb"], "frac_coords": [[0.000, 0.000, 0.500], [0.500, 0.000, 0.000], [0.000, 0.500, 0.000], [0.000, 0.000, 0.000], [0.500, 0.500, 0.500]], "e_tot_ev_per_atom": -2.044, "e_above_lowest_polymorph_ev_per_atom": 0.697, "formation_energy_ev_per_fu": 7.51}


{"formula": "BaLiNb", "functional": "PBE-GGA", "state": "relaxed", "lattice_angstrom": [[4.787, -2.764, 0.000], [0.000, 5.528, 0.000], [0.000, 0.000, 7.512]], "species": ["Li", "Li", "Ba", "Ba", "Nb", "Nb"], "frac_coords": [[0.667, 0.333, 0.000], [0.667, 0.333, 0.500], [0.333, 0.667, 0.254], [0.333, 0.667, 0.746], [0.000, 0.000, 0.647], [0.000, 0.000, 0.353]], "e_tot_ev_per_atom": -3.750, "e_above_lowest_polymorph_ev_per_atom": 0.512, "formation_energy_ev_per_fu": 2.66}


{"formula": "BaLiNb", "functional": "PBE-GGA", "state": "relaxed", "lattice_angstrom": [[-0.696, 2.618, -6.585], [2.378, -4.176, -4.222], [-3.384, -2.289, -2.183]], "species": ["Ba", "Ba", "Li", "Li", "Nb", "Nb"], "frac_coords": [[0.068, 0.767, 0.689], [0.322, 0.258, 0.317], [0.723, 0.825, 0.332], [0.556, 0.710, 0.973], [0.866, 0.264, 0.042], [0.725, 0.315, 0.587]], "e_tot_ev_per_atom": -4.062, "e_above_lowest_polymorph_ev_per_atom": 0.201, "formation_energy_ev_per_fu": 1.72}


{"formula": "BaLiNb", "functional": "PBE-GGA", "state": "relaxed", "lattice_angstrom": [[7.368, 0.000, 0.000], [0.000, 4.655, 0.000], [0.000, 0.000, 10.670]], "species": ["Li", "Li", "Li", "Li", "Ba", "Ba", "Ba", "Ba", "Nb", "Nb", "Nb", "Nb"], "frac_coords": [[0.729, 0.250, 0.354], [0.771, 0.750, 0.854], [0.271, 0.750, 0.646], [0.229, 0.250, 0.146], [0.629, 0.250, 0.660], [0.371, 0.750, 0.340], [0.871, 0.750, 0.160], [0.129, 0.250, 0.840], [0.444, 0.750, 0.987], [0.056, 0.250, 0.487], [0.556, 0.250, 0.013], [0.944, 0.750, 0.513]], "e_tot_ev_per_atom": -4.078, "e_above_lowest_polymorph_ev_per_atom": 0.184, "formation_energy_ev_per_fu": 1.67}


{"formula": "BaLiNb", "functional": "PBE-GGA", "state": "relaxed", "lattice_angstrom": [[6.878, 0.001, -0.006], [-0.030, 7.579, -0.006], [0.139, -0.744, 3.400]], "species": ["Li", "Li", "Nb", "Nb", "Ba", "Ba"], "frac_coords": [[0.004, 0.521, 0.591], [0.280, 0.699, 0.132], [0.544, 0.909, 0.683], [0.739, 0.728, 0.168], [0.523, 0.342, 0.388], [0.030, 0.061, 0.899]], "e_tot_ev_per_atom": -4.093, "e_above_lowest_polymorph_ev_per_atom": 0.169, "formation_energy_ev_per_fu": 1.63}


{"formula": "BaLiNb", "functional": "PBE-GGA", "state": "relaxed", "lattice_angstrom": [[4.962, -2.865, 0.000], [0.000, 5.729, 0.000], [0.000, 0.000, 6.780]], "species": ["Nb", "Nb", "Ba", "Ba", "Li", "Li"], "frac_coords": [[0.667, 0.333, 0.750], [0.333, 0.667, 0.250], [0.333, 0.667, 0.750], [0.667, 0.333, 0.250], [0.000, 0.000, 0.000], [0.000, 0.000, 0.500]], "e_tot_ev_per_atom": -3.449, "e_above_lowest_polymorph_ev_per_atom": 0.813, "formation_energy_ev_per_fu": 3.56}


{"formula": "BaLiNb", "functional": "PBE-GGA", "state": "relaxed", "lattice_angstrom": [[13.332, -0.001, 0.012], [0.062, 3.639, -0.001], [-0.128, 0.005, 3.610]], "species": ["Nb", "Nb", "Li", "Li", "Ba", "Ba"], "frac_coords": [[0.987, 0.137, 0.730], [0.068, 0.631, 0.242], [0.200, 0.123, 0.757], [0.305, 0.616, 0.271], [0.796, 0.651, 0.200], [0.505, 0.102, 0.801]], "e_tot_ev_per_atom": -4.262, "e_above_lowest_polymorph_ev_per_atom": 0.000, "formation_energy_ev_per_fu": 1.12}


Number 1: V 155.2 Å³ per cell, magnetic moment 0.0 μB/cell. Number 2: V 310.7 Å³ per cell, magnetic moment 0.0 μB/cell. Number 3: V 680.7 Å³ per cell, magnetic moment 0.0 μB/cell. Number 4: V 191.0 Å³ per cell, magnetic moment 0.0 μB/cell. Number 5: V 246.6 Å³ per cell, magnetic moment 0.0 μB/cell. Number 6: V 170.0 Å³ per cell, magnetic moment 0.0 μB/cell. Number 7: V 221.4 Å³ per cell, magnetic moment 0.0 μB/cell. Number 8: V 236.8 Å³ per cell, magnetic moment 0.0 μB/cell. Number 9: V 237.1 Å³ per cell, magnetic moment 0.0 μB/cell. Number 10: V 176.6 Å³ per cell, magnetic moment 0.0 μB/cell. Number 11: V 177.0 Å³ per cell, magnetic moment 0.0 μB/cell. Number 12: V 254.4 Å³ per cell, magnetic moment 7.7 μB/cell. Number 13: V 182.8 Å³ per cell, magnetic moment 0.0 μB/cell. Number 14: V 123.5 Å³ per cell, magnetic moment 2.0 μB/cell. Number 15: V 198.8 Å³ per cell, magnetic moment 0.0 μB/cell. Number 16: V 180.3 Å³ per cell, magnetic moment 0.0 μB/cell. Number 17: V 366.0 Å³ per cell, magnetic moment 0.0 μB/cell. Number 18: V 177.2 Å³ per cell, magnetic moment 0.0 μB/cell. Number 19: V 192.7 Å³ per cell, magnetic moment 6.9 μB/cell. Number 20: V 175.2 Å³ per cell, magnetic moment 0.0 μB/cell.